The following is a PBE-GGA calculation of an optimized crystal structure of SiMoAu, from the Alexandria database.

Structure (POSCAR):
```
SiMoAu
1.0
4.382 0.000 0.000
-2.191 3.795 0.000
0.000 0.000 2.803
Si Mo Au
1 1 1
direct
0.000 0.000 0.000 Si
0.333 0.667 0.500 Mo
0.667 0.333 0.000 Au
```

Values from the calculation:
* E_form (uncorrected): 0.181 eV per atom
* electronic total energy: -6.33 eV/atom
* E above lowest polymorph: 5.7 kJ/mol of atoms